Record 1
Compound: RbAl2SbPb
Source: Alexandria via LeMat-Bulk
Functional: PBE
Structure: relaxed

Calculated values
Formation energy (no corrections) = 1.440 eV per atom
ρ = 3.74 g cm⁻³

Cell and atoms, written as CIF:
```
data_RbAl2SbPb
_chemical_formula_sum 'Rb1 Al2 Sb1 Pb1'
_cell_length_a 5.795
_cell_length_b 5.795
_cell_length_c 6.198
_cell_angle_alpha 90.00
_cell_angle_beta 90.00
_cell_angle_gamma 90.00
_symmetry_space_group_name_H-M 'P 4/m m m'
_symmetry_Int_Tables_number 123
_symmetry_space_group_name_Hall '-P 4 2'
loop_
_atom_site_label
_atom_site_type_symbol
_atom_site_fract_x
_atom_site_fract_y
_atom_site_fract_z
Rb1 Rb 0.000 0.000 0.000
Al1 Al 0.000 0.500 0.000
Sb1 Sb 0.500 0.500 0.500
Pb1 Pb 0.000 0.000 0.500
```

=====

Record 2
Compound: RbAlSb2Pb
Source: Alexandria via LeMat-Bulk
Functional: PBE
Structure: relaxed

Calculated values
Formation energy (no corrections) = -0.207 eV per atom
ρ = 4.84 g cm⁻³

Cell and atoms, written as CIF:
```
data_RbAlSb2Pb
_chemical_formula_sum 'Rb4 Al4 Sb8 Pb4'
_cell_length_a 18.727
_cell_length_b 4.471
_cell_length_c 11.265
_cell_angle_alpha 90.00
_cell_angle_beta 125.04
_cell_angle_gamma 90.00
_symmetry_space_group_name_H-M 'C 1 2/m 1'
_symmetry_Int_Tables_number 12
_symmetry_space_group_name_Hall '-C 2y'
loop_
_atom_site_label
_atom_site_type_symbol
_atom_site_fract_x
_atom_site_fract_y
_atom_site_fract_z
Rb1 Rb 0.203 0.000 0.148
Al1 Al 0.046 0.000 0.659
Sb1 Sb 0.088 0.500 0.823
Sb2 Sb 0.140 0.000 0.538
Pb1 Pb 0.113 0.500 0.337
```

=====

Record 3
Compound: Rb2AlPbSe4
Source: Alexandria via LeMat-Bulk
Functional: PBE
Structure: relaxed

Calculated values
Formation energy (no corrections) = -0.862 eV per atom
ρ = 4.66 g cm⁻³

Cell and atoms, written as CIF:
```
data_Rb2AlPbSe4
_chemical_formula_sum 'Rb4 Al2 Pb2 Se8'
_cell_length_a 8.478
_cell_length_b 8.478
_cell_length_c 7.144
_cell_angle_alpha 90.00
_cell_angle_beta 90.00
_cell_angle_gamma 90.00
_symmetry_space_group_name_H-M 'I -4 2 m'
_symmetry_Int_Tables_number 121
_symmetry_space_group_name_Hall 'I -4 2'
loop_
_atom_site_label
_atom_site_type_symbol
_atom_site_fract_x
_atom_site_fract_y
_atom_site_fract_z
Rb1 Rb 0.000 0.500 0.000
Al1 Al 0.000 0.000 0.000
Pb1 Pb 0.000 0.000 0.500
Se1 Se 0.162 0.162 0.791
```

=====

Record 4
Compound: Rb2AlTcPb
Source: Alexandria via LeMat-Bulk
Functional: PBE
Structure: relaxed

Calculated values
ΔH_f (0 K) = 1.12 eV per atom
ρ = 3.69 g cm⁻³

Cell and atoms, written as CIF:
```
data_Rb2AlTcPb
_chemical_formula_sum 'Rb2 Al1 Tc1 Pb1'
_cell_length_a 6.521
_cell_length_b 6.521
_cell_length_c 5.331
_cell_angle_alpha 90.00
_cell_angle_beta 90.00
_cell_angle_gamma 90.00
_symmetry_space_group_name_H-M 'P 4/m m m'
_symmetry_Int_Tables_number 123
_symmetry_space_group_name_Hall '-P 4 2'
loop_
_atom_site_label
_atom_site_type_symbol
_atom_site_fract_x
_atom_site_fract_y
_atom_site_fract_z
Rb1 Rb 0.000 0.500 0.000
Al1 Al 0.000 0.000 0.500
Tc1 Tc 0.500 0.500 0.000
Pb1 Pb 0.500 0.500 0.500
```

=====

Record 5
Compound: Rb2AlTlPb
Source: Alexandria via LeMat-Bulk
Functional: PBE
Structure: relaxed

Calculated values
ΔH_f (0 K) = 0.49 eV per atom
ρ = 3.68 g cm⁻³

Cell and atoms, written as CIF:
```
data_Rb2AlTlPb
_chemical_formula_sum 'Rb2 Al1 Tl1 Pb1'
_cell_length_a 6.866
_cell_length_b 6.866
_cell_length_c 5.832
_cell_angle_alpha 90.00
_cell_angle_beta 90.00
_cell_angle_gamma 90.00
_symmetry_space_group_name_H-M 'P 4/m m m'
_symmetry_Int_Tables_number 123
_symmetry_space_group_name_Hall '-P 4 2'
loop_
_atom_site_label
_atom_site_type_symbol
_atom_site_fract_x
_atom_site_fract_y
_atom_site_fract_z
Rb1 Rb 0.000 0.500 0.000
Al1 Al 0.000 0.000 0.500
Tl1 Tl 0.500 0.500 0.000
Pb1 Pb 0.500 0.500 0.500
```

=====

Record 6
Compound: RbYAl2Pb
Source: Alexandria via LeMat-Bulk
Functional: PBE
Structure: relaxed

Calculated values
ΔH_f (0 K) = 1.27 eV per atom
Energy above the most stable polymorph in this dataset = 379 meV/atom
ρ = 4.09 g cm⁻³

Cell and atoms, written as CIF:
```
data_RbYAl2Pb
_chemical_formula_sum 'Rb1 Y1 Al2 Pb1'
_cell_length_a 5.464
_cell_length_b 5.464
_cell_length_c 5.919
_cell_angle_alpha 90.00
_cell_angle_beta 90.00
_cell_angle_gamma 90.00
_symmetry_space_group_name_H-M 'P 4/m m m'
_symmetry_Int_Tables_number 123
_symmetry_space_group_name_Hall '-P 4 2'
loop_
_atom_site_label
_atom_site_type_symbol
_atom_site_fract_x
_atom_site_fract_y
_atom_site_fract_z
Rb1 Rb 0.000 0.000 0.000
Y1 Y 0.500 0.500 0.500
Al1 Al 0.000 0.500 0.000
Pb1 Pb 0.000 0.000 0.500
```

=====

Record 7
Compound: RbYAl2Pb
Source: Alexandria via LeMat-Bulk
Functional: PBE
Structure: relaxed

Calculated values
ΔH_f (0 K) = 0.89 eV per atom
Energy above the most stable polymorph in this dataset = 0 meV/atom
ρ = 3.92 g cm⁻³

Cell and atoms, written as CIF:
```
data_RbYAl2Pb
_chemical_formula_sum 'Rb1 Y1 Al2 Pb1'
_cell_length_a 5.476
_cell_length_b 5.476
_cell_length_c 6.152
_cell_angle_alpha 90.00
_cell_angle_beta 90.00
_cell_angle_gamma 90.00
_symmetry_space_group_name_H-M 'P 4/m m m'
_symmetry_Int_Tables_number 123
_symmetry_space_group_name_Hall '-P 4 2'
loop_
_atom_site_label
_atom_site_type_symbol
_atom_site_fract_x
_atom_site_fract_y
_atom_site_fract_z
Rb1 Rb 0.000 0.000 0.000
Y1 Y 0.500 0.500 0.000
Al1 Al 0.000 0.500 0.500
Pb1 Pb 0.000 0.000 0.500
```

=====

Record 8
Compound: AlRePb2
Source: Alexandria via LeMat-Bulk
Functional: PBE
Structure: relaxed

Calculated values
ΔH_f (0 K) = 1.33 eV per atom
ρ = 8.05 g cm⁻³

Cell and atoms, written as CIF:
```
data_AlRePb2
_chemical_formula_sum 'Al4 Re4 Pb8'
_cell_length_a 6.431
_cell_length_b 6.431
_cell_length_c 12.522
_cell_angle_alpha 90.00
_cell_angle_beta 90.00
_cell_angle_gamma 90.00
_symmetry_space_group_name_H-M 'I -4 2 d'
_symmetry_Int_Tables_number 122
_symmetry_space_group_name_Hall 'I -4 2bw'
loop_
_atom_site_label
_atom_site_type_symbol
_atom_site_fract_x
_atom_site_fract_y
_atom_site_fract_z
Al1 Al 0.000 0.000 0.000
Re1 Re 0.000 0.000 0.500
Pb1 Pb 0.233 0.250 0.625
```

=====

Question: Which value of ρ does entry 4 give?
Answer: 3.69 g cm⁻³